(1)
Entry from Alexandria via LeMat-Bulk: a relaxed Nd4Dy2Ho3 crystal (GGA-PBE).

Its total energy is -41.468 eV/f.u. Its formation energy is 0.060 eV/atom. The size of the total moment is 0.00 Bohr magnetons per cell.

Cell lengths 9.836, 5.688, 10.569 Å; angles 90.00, 90.24, 90.00 degrees
Space group C2/m (No. 12)
One atom of each set of equivalent atoms:
Nd1 0.000 0.000 0.163
Nd2 0.167 0.500 0.665
Dy1 0.167 0.500 0.332
Ho1 0.000 0.000 0.500
Ho2 0.166 0.500 0.997

***

(2)
Entry from Alexandria via LeMat-Bulk: a relaxed TbPm7Y3 crystal (GGA-PBE).

Its total energy is -54.724 eV/f.u. Its formation energy is 0.232 eV/atom. The size of the total moment is 0.01 Bohr magnetons per cell.

Cell lengths 12.838, 11.339, 5.902 Å; angles 90.00, 117.28, 90.00 degrees
Space group C2/m (No. 12)
One atom of each set of equivalent atoms:
Tb1 0.000 0.000 0.000
Pm1 0.000 0.000 0.500
Pm2 0.195 0.291 0.194
Pm3 0.212 0.500 0.710
Y1 0.000 0.296 0.500
Y2 0.000 0.500 0.000

***

Q: Which of these has the lowest formation energy?
A: Nd4Dy2Ho3

***

Q: size of the total moment of number 1 (Nd4Dy2Ho3)?
A: 0.00 Bohr magnetons per cell

***

Q: Look up the size of the total moment of the second one.
A: 0.01 Bohr magnetons per cell

***

Q: Which formula does entry 2 have?
A: TbPm7Y3